# PBE-GGA PrLuCdBi, optimized geometry
# - E (hartree per atom) = -0.1439
# - size of the total moment (Bohr magnetons per cell) = 0.003
# - density (g cm⁻³) = 9.218
data_PrLuCdBi
_cell_length_a 7.715
_cell_length_b 7.715
_cell_length_c 7.715
_cell_angle_alpha 90.00
_cell_angle_beta 90.00
_cell_angle_gamma 90.00
_symmetry_space_group_name_H-M 'P 1'
_symmetry_Int_Tables_number 1
loop_
_symmetry_equiv_pos_as_xyz
'x,y,z'
loop_
_atom_site_label
_atom_site_type_symbol
_atom_site_fract_x
_atom_site_fract_y
_atom_site_fract_z
Pr1 Pr 0.000 0.000 0.000
Pr2 Pr 0.000 0.500 0.500
Pr3 Pr 0.500 0.000 0.500
Pr4 Pr 0.500 0.500 0.000
Lu1 Lu 0.000 0.000 0.500
Lu2 Lu 0.000 0.500 0.000
Lu3 Lu 0.500 0.000 0.000
Lu4 Lu 0.500 0.500 0.500
Cd1 Cd 0.250 0.250 0.750
Cd2 Cd 0.250 0.750 0.250
Cd3 Cd 0.750 0.250 0.250
Cd4 Cd 0.750 0.750 0.750
Bi1 Bi 0.250 0.250 0.250
Bi2 Bi 0.250 0.750 0.750
Bi3 Bi 0.750 0.250 0.750
Bi4 Bi 0.750 0.750 0.250